A plane-wave DFT calculation with PBE was carried out for Hf2InH after structural relaxation.

Lattice parameters (Å, degrees): 3.2631 3.2631 22.4695 90.00 90.00 120.00
Closest atoms and distances in Å follow each position.
Space group R3m (No. 160, hexagonal axes)
Unique sites:
Hf 0.0000 0.0000 0.0000 x3  3 H 2.26
Hf 0.0000 0.0000 0.2223 x3  3 H 2.26
In 0.0000 0.0000 0.4448 x3  6 Hf 3.12-3.13, 6 In 3.26
H 0.0000 0.0000 0.6110 x3  6 Hf 2.26

- Uncorrected energy: -26.68 eV/f.u.
- M_tot: 0.0 μB per formula unit
- E above lowest polymorph: 98 meV/atom